# LiHoMg6 (GGA-PBE, optimized geometry)
data_LiHoMg6
_cell_length_a 4.5949
_cell_length_b 4.5949
_cell_length_c 9.0353
_cell_angle_alpha 90.00
_cell_angle_beta 90.00
_cell_angle_gamma 90.00
_symmetry_space_group_name_H-M 'P 1'
_symmetry_Int_Tables_number 1
loop_
_symmetry_equiv_pos_as_xyz
'x,y,z'
loop_
_atom_site_label
_atom_site_fract_x
_atom_site_fract_y
_atom_site_fract_z
Li1 0.0000 0.0000 0.0000
Ho1 0.0000 0.0000 0.5000
Mg1 0.0000 0.5000 0.2388
Mg2 0.0000 0.5000 0.7612
Mg3 0.5000 0.0000 0.2388
Mg4 0.5000 0.0000 0.7612
Mg5 0.5000 0.5000 0.0000
Mg6 0.5000 0.5000 0.5000
# - ΔE_f (meV/atom) = -26
# - crystal system = tetragonal
# - D(E_F) (states/eV per cell) = 5.0

---

# Cd2InSi2Pd5 (GGA-PBE, optimized geometry)
data_Cd2InSi2Pd5
_cell_length_a 9.9067
_cell_length_b 9.9067
_cell_length_c 3.4585
_cell_angle_alpha 90.00
_cell_angle_beta 90.00
_cell_angle_gamma 90.00
_symmetry_space_group_name_H-M 'P 1'
_symmetry_Int_Tables_number 1
loop_
_symmetry_equiv_pos_as_xyz
'x,y,z'
loop_
_atom_site_label
_atom_site_fract_x
_atom_site_fract_y
_atom_site_fract_z
Cd1 0.1738 0.3262 0.0000
Cd2 0.3262 0.8262 0.0000
Cd3 0.6738 0.1738 0.0000
Cd4 0.8262 0.6738 0.0000
In1 0.0000 0.0000 0.0000
In2 0.5000 0.5000 0.0000
Si1 0.1259 0.6259 0.0000
Si2 0.3741 0.1259 0.0000
Si3 0.6259 0.8741 0.0000
Si4 0.8741 0.3741 0.0000
Pd1 0.0000 0.5000 0.5000
Pd2 0.0735 0.7888 0.5000
Pd3 0.2112 0.0735 0.5000
Pd4 0.2888 0.5735 0.5000
Pd5 0.4265 0.2888 0.5000
Pd6 0.5000 0.0000 0.5000
Pd7 0.5735 0.7112 0.5000
Pd8 0.7112 0.4265 0.5000
Pd9 0.7888 0.9265 0.5000
Pd10 0.9265 0.2112 0.5000
# - formation energy without anion corrections (eV/atom) = -0.431
# - crystal system = tetragonal
# - D(E_F) (states/eV per cell) = 3.5

---

# Ta2PCl (GGA-PBE, optimized geometry)
data_Ta2PCl
_cell_length_a 4.3347
_cell_length_b 3.0049
_cell_length_c 5.4148
_cell_angle_alpha 90.00
_cell_angle_beta 113.52
_cell_angle_gamma 90.00
_symmetry_space_group_name_H-M 'P 1'
_symmetry_Int_Tables_number 1
loop_
_symmetry_equiv_pos_as_xyz
'x,y,z'
loop_
_atom_site_label
_atom_site_fract_x
_atom_site_fract_y
_atom_site_fract_z
Ta1 0.0000 0.0000 0.0000
Ta2 0.5000 0.5000 0.5000
P1 0.0000 0.0000 0.5000
Cl1 0.5000 0.5000 0.0000
# - formation energy without anion corrections (eV/atom) = 0.046
# - crystal system = monoclinic
# - E above lowest polymorph (eV per formula unit) = 1.47
# - D(E_F) (states/eV per cell) = 3.3

---

# Cs2Hg5Au (GGA-PBE, optimized geometry)
data_Cs2Hg5Au
_cell_length_a 8.0850
_cell_length_b 8.0850
_cell_length_c 8.0850
_cell_angle_alpha 128.04
_cell_angle_beta 128.04
_cell_angle_gamma 76.57
_symmetry_space_group_name_H-M 'P 1'
_symmetry_Int_Tables_number 1
loop_
_symmetry_equiv_pos_as_xyz
'x,y,z'
loop_
_atom_site_label
_atom_site_fract_x
_atom_site_fract_y
_atom_site_fract_z
Cs1 0.0000 0.5000 0.5000
Cs2 0.5000 0.0000 0.5000
Hg1 0.3732 0.3732 0.0000
Hg2 0.5143 0.5143 0.5311
Hg3 0.5143 0.9832 0.0000
Hg4 0.9832 0.5143 0.0000
Hg5 0.9832 0.9832 0.4689
Au1 0.6042 0.6042 0.0000
# - ΔE_f (meV/atom) = -222
# - crystal system = tetragonal
# - D(E_F) (states/eV per cell) = 3.0

---

# CdInW (GGA-PBE, optimized geometry)
data_CdInW
_cell_length_a 3.0021
_cell_length_b 3.0021
_cell_length_c 7.5862
_cell_angle_alpha 90.00
_cell_angle_beta 90.00
_cell_angle_gamma 120.00
_symmetry_space_group_name_H-M 'P 1'
_symmetry_Int_Tables_number 1
loop_
_symmetry_equiv_pos_as_xyz
'x,y,z'
loop_
_atom_site_label
_atom_site_fract_x
_atom_site_fract_y
_atom_site_fract_z
Cd1 0.0000 0.0000 0.0000
In1 0.6667 0.3333 0.3608
W1 0.3333 0.6667 0.6798
# - ΔE_f (meV/atom) = 572
# - crystal system = trigonal
# - E above lowest polymorph (eV per formula unit) = 0.95
# - D(E_F) (states/eV per cell) = 1.6

---

# LaBMo (GGA-PBE, optimized geometry)
data_LaBMo
_cell_length_a 3.2720
_cell_length_b 4.6258
_cell_length_c 7.5064
_cell_angle_alpha 99.38
_cell_angle_beta 102.06
_cell_angle_gamma 90.01
_symmetry_space_group_name_H-M 'P 1'
_symmetry_Int_Tables_number 1
loop_
_symmetry_equiv_pos_as_xyz
'x,y,z'
loop_
_atom_site_label
_atom_site_fract_x
_atom_site_fract_y
_atom_site_fract_z
La1 0.0899 0.2953 0.1636
La2 0.9101 0.7047 0.8364
B1 0.2621 0.6033 0.5255
B2 0.7379 0.3967 0.4745
Mo1 0.3051 0.1528 0.6146
Mo2 0.6949 0.8472 0.3854
# - ΔE_f (meV/atom) = -119
# - crystal system = triclinic
# - E above lowest polymorph (eV per formula unit) = 0.02
# - D(E_F) (states/eV per cell) = 4.4

---

# Ba2Si2Sn (GGA-PBE, optimized geometry)
data_Ba2Si2Sn
_cell_length_a 6.9621
_cell_length_b 6.9621
_cell_length_c 6.9621
_cell_angle_alpha 132.32
_cell_angle_beta 132.32
_cell_angle_gamma 69.72
_symmetry_space_group_name_H-M 'P 1'
_symmetry_Int_Tables_number 1
loop_
_symmetry_equiv_pos_as_xyz
'x,y,z'
loop_
_atom_site_label
_atom_site_fract_x
_atom_site_fract_y
_atom_site_fract_z
Ba1 0.2500 0.7500 0.5000
Ba2 0.7500 0.2500 0.5000
Si1 0.0953 0.0953 0.0000
Si2 0.9047 0.9047 0.0000
Sn1 0.5000 0.5000 0.0000
# - formation energy without anion corrections (eV/atom) = 0.110
# - crystal system = tetragonal
# - D(E_F) (states/eV per cell) = 3.6

---

# PI2Br (GGA-PBE, optimized geometry)
data_PI2Br
_cell_length_a 7.2108
_cell_length_b 7.2108
_cell_length_c 7.2108
_cell_angle_alpha 111.60
_cell_angle_beta 111.60
_cell_angle_gamma 105.29
_symmetry_space_group_name_H-M 'P 1'
_symmetry_Int_Tables_number 1
loop_
_symmetry_equiv_pos_as_xyz
'x,y,z'
loop_
_atom_site_label
_atom_site_fract_x
_atom_site_fract_y
_atom_site_fract_z
P1 0.0000 0.0000 0.0000
P2 0.7500 0.2500 0.5000
I1 0.0554 0.1250 0.4304
I2 0.3750 0.9446 0.0696
I3 0.6946 0.6250 0.5696
I4 0.8750 0.3054 0.9304
Br1 0.2500 0.7500 0.5000
Br2 0.5000 0.5000 0.0000
# - formation energy without anion corrections (eV/atom) = 0.366
# - crystal system = tetragonal
# - E above lowest polymorph (eV per formula unit) = 2.04
# - D(E_F) (states/eV per cell) = 0.1

---

- The lowest D(E_F) belongs to which entry?
  PI2Br